## Ca2LaSe (GGA-PBE)

Data for a geometry-optimized Ca2LaSe structure.

abc: 6.603 6.603 6.603
angles: 138.11 138.11 60.74
Atoms (fractional coordinates):
Ca  0.000  0.000  0.000
Ca  0.250  0.750  0.500
Se  0.750  0.250  0.500
La  0.500  0.500  0.000

## Properties
Magnetization ... 0.3 μB/f.u.
E_form (uncorrected) ... -0.438 eV/atom